Ac5Bi4I (GGA-PBE, optimized geometry); magnetic moment = 0.0000 μB per atom; calculated total energy = -47.65 eV for the cell shown; formation energy from raw total energies = -97 kJ per mole of atoms
1.0
-2.440 3.430 12.113
2.440 -3.430 12.113
2.440 3.430 -12.113
Ac Bi I
5 4 1
Direct
0.000 0.000 0.000 Ac
0.199 0.199 0.000 Ac
0.394 0.394 0.000 Ac
0.606 0.606 0.000 Ac
0.801 0.801 0.000 Ac
0.098 0.598 0.500 Bi
0.299 0.799 0.500 Bi
0.701 0.201 0.500 Bi
0.902 0.402 0.500 Bi
0.500 0.000 0.500 I